(1)
Computed, not measured: a relaxed SmTmThGa crystal at the GGA-PBE level of DFT.

* E_form: -0.064 eV/atom
* DFT total energy: -4.97 eV per atom
* total magnetic moment: 0.00 Bohr magnetons per cell

```
data_SmTmThGa
_space_group_name_H-M_alt 'F -4 3 m'
_space_group_IT_number 216
_space_group_name_Hall 'F -4 2 3'
_cell_length_a 7.5977
_cell_length_b 7.5977
_cell_length_c 7.5977
_cell_angle_alpha 90.00
_cell_angle_beta 90.00
_cell_angle_gamma 90.00
loop_
_atom_site_label
_atom_site_type_symbol
_atom_site_fract_x
_atom_site_fract_y
_atom_site_fract_z
Sm1 Sm 0.0000 0.0000 0.0000
Tm1 Tm 0.2500 0.2500 0.7500
Th1 Th 0.0000 0.0000 0.5000
Ga1 Ga 0.2500 0.2500 0.2500
```

(2)
Computed, not measured: a relaxed Rb2AgI2F2 crystal at the GGA-PBE level of DFT.

* DFT total energy: -3.12 eV per atom
* total magnetic moment: 0.00 Bohr magnetons per cell

```
data_Rb2AgI2F2
_space_group_name_H-M_alt 'I 4/m m m'
_space_group_IT_number 139
_space_group_name_Hall '-I 4 2'
_cell_length_a 4.9252
_cell_length_b 4.9252
_cell_length_c 17.3967
_cell_angle_alpha 90.00
_cell_angle_beta 90.00
_cell_angle_gamma 90.00
loop_
_atom_site_label
_atom_site_type_symbol
_atom_site_fract_x
_atom_site_fract_y
_atom_site_fract_z
Rb1 Rb 0.0000 0.0000 0.1010
Ag1 Ag 0.0000 0.0000 0.5000
I1 I 0.0000 0.0000 0.3399
F1 F 0.0000 0.5000 0.0000
```

(3)
Computed, not measured: a relaxed CdIr2Ru crystal at the GGA-PBE level of DFT.

* E_form: 0.345 eV/atom
* DFT total energy: -6.63 eV per atom
* total magnetic moment: 0.00 Bohr magnetons per cell

```
data_CdIr2Ru
_space_group_name_H-M_alt 'I m m 2'
_space_group_IT_number 44
_cell_length_a 2.7788
_cell_length_b 4.6943
_cell_length_c 9.8865
_cell_angle_alpha 90.00
_cell_angle_beta 90.00
_cell_angle_gamma 90.00
loop_
_space_group_symop_operation_xyz
'x,y,z'
'-x,-y,z'
'-x,y,z'
'x,-y,z'
'x+1/2,y+1/2,z+1/2'
'-x+1/2,-y+1/2,z+1/2'
'-x+1/2,y+1/2,z+1/2'
'x+1/2,-y+1/2,z+1/2'
loop_
_atom_site_label
_atom_site_type_symbol
_atom_site_fract_x
_atom_site_fract_y
_atom_site_fract_z
Cd1 Cd 0.0000 0.0000 0.0000
Ir1 Ir 0.0000 0.0000 0.5012
Ir2 Ir 0.0000 0.5000 0.7720
Ru1 Ru 0.0000 0.5000 0.2243
```

Question: The lowest DFT total energy belongs to which entry?
Answer: CdIr2Ru

Please write out number 2 again, unchanged.
Computed, not measured: a relaxed Rb2AgI2F2 crystal at the GGA-PBE level of DFT.

* DFT total energy: -3.12 eV per atom
* total magnetic moment: 0.00 Bohr magnetons per cell

```
data_Rb2AgI2F2
_space_group_name_H-M_alt 'I 4/m m m'
_space_group_IT_number 139
_space_group_name_Hall '-I 4 2'
_cell_length_a 4.9252
_cell_length_b 4.9252
_cell_length_c 17.3967
_cell_angle_alpha 90.00
_cell_angle_beta 90.00
_cell_angle_gamma 90.00
loop_
_atom_site_label
_atom_site_type_symbol
_atom_site_fract_x
_atom_site_fract_y
_atom_site_fract_z
Rb1 Rb 0.0000 0.0000 0.1010
Ag1 Ag 0.0000 0.0000 0.5000
I1 I 0.0000 0.0000 0.3399
F1 F 0.0000 0.5000 0.0000
```